Here is a relaxed structure of Pa2MnSi3Os4 from the Alexandria database. Energies are from GGA-PBE.

volume = 167.8 Å³ per cell
crystal system = tetragonal
E = -0.6931 Ry per atom
raw formation energy = -4.95 eV per formula unit

abc: 4.109 4.109 9.941
angles: 90.00 90.00 90.00
Site moments in Bohr magnetons follow the coordinates.
Atoms (fractional coordinates):
Os 0.000 0.000 0.000  -0.01
Pa 0.500 0.000 0.248  -0.10
Mn 0.500 0.500 0.500  1.31
Pa 0.000 0.500 0.752  -0.10
Si 0.000 0.000 0.500  -0.02
Os 0.500 0.500 0.000  0.02
Si 0.000 0.500 0.127  0.00
Os 0.000 0.500 0.367  -0.06
Si 0.500 0.000 0.873  0.00
Os 0.500 0.000 0.633  -0.06

Here is a relaxed structure of PaMn2Si2Os from the Alexandria database. Energies are from GGA-PBE.

volume = 111.9 Å³ per cell
crystal system = tetragonal
E = -0.5922 Ry per atom
raw formation energy = 1.57 eV per formula unit

abc: 4.627 4.627 5.227
angles: 90.00 90.00 90.00
Site moments in Bohr magnetons follow the coordinates.
Atoms (fractional coordinates):
Mn 0.500 0.500 0.248  2.98
Pa 0.000 0.000 0.500  -0.48
Si 0.000 0.500 0.000  -0.07
Si 0.500 0.000 0.000  -0.07
Os 0.000 0.000 0.000  0.19
Mn 0.500 0.500 0.752  2.98

Here is a relaxed structure of PaMnSiOs from the Alexandria database. Energies are from GGA-PBE.

volume = 65.4 Å³ per cell
crystal system = cubic
E = -0.6548 Ry per atom
raw formation energy = -0.32 eV per formula unit

abc: 4.523 4.523 4.523
angles: 60.00 60.00 60.00
Atoms (fractional coordinates):
Pa 0.250 0.250 0.250
Mn 0.500 0.500 0.500
Os 0.000 0.000 0.000
Si 0.750 0.750 0.750

Here is a relaxed structure of Pa2MnSi6Os from the Alexandria database. Energies are from GGA-PBE.

volume = 351.4 Å³ per cell
crystal system = trigonal
E = -0.5498 Ry per atom
raw formation energy = -2.88 eV per formula unit

abc: 5.796 5.796 12.535
angles: 76.63 76.63 60.00
Site moments in Bohr magnetons follow the coordinates.
Atoms (fractional coordinates):
Pa 0.874 0.874 0.377  0.15
Si 0.808 0.808 0.152  0.01
Mn 0.000 0.000 0.000  1.37
Os 0.577 0.577 0.270  0.04
Si 0.808 0.231 0.152  0.01
Si 0.339 0.339 0.392  0.00
Os 0.423 0.423 0.730  0.04
Pa 0.126 0.126 0.623  0.15
Si 0.339 0.929 0.392  0.00
Mn 0.500 0.500 0.500  0.24
Pa 0.280 0.280 0.161  0.65
Si 0.661 0.071 0.608  0.00
Si 0.661 0.661 0.608  0.00
Si 0.192 0.769 0.848  0.01
Si 0.192 0.192 0.848  0.01
Si 0.231 0.808 0.152  0.01
Si 0.769 0.192 0.848  0.01
Pa 0.720 0.720 0.839  0.65
Si 0.929 0.339 0.392  0.00
Si 0.071 0.661 0.608  0.00

Here is a relaxed structure of SmPaMnOs from the Alexandria database. Energies are from GGA-PBE.

volume = 82.4 Å³ per cell
energy of formation = 0.357 eV/f.u.
crystal system = cubic
E = -0.6295 Ry per atom

abc: 4.884 4.884 4.884
angles: 60.00 60.00 60.00
Site moments in Bohr magnetons follow the coordinates.
Atoms (fractional coordinates):
Sm 0.750 0.750 0.750  -0.17
Os 0.500 0.500 0.500  0.19
Mn 0.000 0.000 0.000  2.51
Pa 0.250 0.250 0.250  -0.73

Here is a relaxed structure of PaMnTcOs from the Alexandria database. Energies are from GGA-PBE.

volume = 69.3 Å³ per cell
energy of formation = 0.089 eV/f.u.
crystal system = cubic
E = -0.7382 Ry per atom

abc: 4.611 4.611 4.611
angles: 60.00 60.00 60.00
Site moments in Bohr magnetons follow the coordinates.
Atoms (fractional coordinates):
Os 0.750 0.750 0.750  0.20
Tc 0.250 0.250 0.250  0.17
Pa 0.500 0.500 0.500  0.24
Mn 0.000 0.000 0.000  3.57

Please write out number 5 again, unchanged.
Here is a relaxed structure of SmPaMnOs from the Alexandria database. Energies are from GGA-PBE.

volume = 82.4 Å³ per cell
energy of formation = 0.357 eV/f.u.
crystal system = cubic
E = -0.6295 Ry per atom

abc: 4.884 4.884 4.884
angles: 60.00 60.00 60.00
Site moments in Bohr magnetons follow the coordinates.
Atoms (fractional coordinates):
Sm 0.750 0.750 0.750  -0.17
Os 0.500 0.500 0.500  0.19
Mn 0.000 0.000 0.000  2.51
Pa 0.250 0.250 0.250  -0.73

> Which of these has the lowest volume?

PaMnSiOs